Below is a relaxed structure of MoO3F, with properties calculated at the GGA+U level.

Computed properties:
Electronic total energy in eV per atom: -6.01
Space group: No. 11
Magnetization in Bohr magnetons per cell: 2.00

Lattice parameters (Å, degrees): 5.426 5.577 5.774 90.00 90.00 107.41
Each line ends with the local moment (μB).
Positions (direct):
Mo 0.197 0.004 0.250  -0.13
Mo 0.803 0.996 0.750  -0.13
O 0.025 0.819 0.996  0.42
O 0.450 0.880 0.250  0.10
O 0.550 0.120 0.750  0.10
O 0.975 0.181 0.496  0.42
O 0.025 0.819 0.504  0.42
O 0.975 0.181 0.004  0.42
F 0.408 0.341 0.250  0.00
F 0.592 0.659 0.750  0.00